# Eu2PBr, optimized geometry, DFT PBE
# * uncorrected formation energy: -1564 meV/atom
# * uncorrected energy: -101.7 eV for the cell shown
# * distance to the lowest polymorph of the same formula: 0 meV per atom
# * magnetic moment: 42.0 Bohr magnetons per cell
data_Eu2PBr
_chemical_formula_sum 'Eu6 P3 Br3'
_cell_length_a 4.3137
_cell_length_b 4.3137
_cell_length_c 21.8183
_cell_angle_alpha 90.00
_cell_angle_beta 90.00
_cell_angle_gamma 120.00
_symmetry_space_group_name_H-M 'R -3 m'
_symmetry_Int_Tables_number 166
_symmetry_space_group_name_Hall '-R 3 2"'
loop_
_atom_site_label
_atom_site_type_symbol
_atom_site_fract_x
_atom_site_fract_y
_atom_site_fract_z
_atom_site_occupancy
Eu1 Eu 0.0000 0.0000 0.2370 1
P1 P 0.0000 0.0000 0.5000 1
Br1 Br 0.0000 0.0000 0.0000 1